Computed, not measured: a relaxed Ba2YPtO5 crystal at the PBE level of DFT.

```
Ba2YPtO5
1.0
3.5743 0.0000 0.0000
-1.7872 7.0215 0.0000
0.0000 0.0000 11.9679
Y Ba O Pt
2 4 10 2
Cartesian
0.0000 2.9039 0.2469
1.7872 4.1176 6.2309
0.0000 2.0941 3.6588
1.7872 4.9275 9.6428
1.7872 5.6586 2.2363
0.0000 1.3630 8.2202
0.0000 3.8909 7.6511
0.0000 5.2272 11.8245
1.7872 2.3385 10.7231
1.7872 0.2159 3.3952
1.7872 6.3124 6.6524
1.7872 3.1306 1.6671
0.0000 6.8056 9.3792
1.7872 1.7943 5.8405
0.0000 4.6831 4.7391
0.0000 0.7091 0.6684
0.0000 6.7354 5.3607
1.7872 0.2862 11.3447
```

Summary:
E_form (uncorrected)	-2.128	eV/atom
size of the total moment	0.00	μB/f.u.
DOS at the Fermi energy	4.49	states/eV/cell